Density functional theory data (SCAN) for a PBEsol-optimized structure of ReGe3C.

Output
* formation energy from the elements: 1456 meV/atom
* space group: Pm-3m (221)

abc: 4.748 4.748 4.748
angles: 90.00 90.00 90.00
Fractional positions:
Re (0.000, 0.000, 0.000)
Ge (0.000, 0.000, 0.500)
Ge (0.000, 0.500, 0.000)
Ge (0.500, 0.000, 0.000)
C (0.500, 0.500, 0.500)

=====

Density functional theory data (SCAN) for a PBEsol-optimized structure of SrRe2GeC.

Output
* formation energy from the elements: 679 meV/atom
* space group: P4/mmm (123)

abc: 4.069 4.069 5.135
angles: 90.00 90.00 90.00
Fractional positions:
Sr (0.000, 0.000, 0.000)
Re (0.000, 0.500, 0.500)
Re (0.500, 0.000, 0.500)
Ge (0.500, 0.500, 0.000)
C (0.000, 0.000, 0.500)

=====

Density functional theory data (SCAN) for a PBEsol-optimized structure of GeC3S.

Output
* E_form (uncorrected): 15.02 eV/f.u.
* space group: Pm-3m (221)

abc: 3.932 3.932 3.932
angles: 90.00 90.00 90.00
Fractional positions:
Ge (0.000, 0.000, 0.000)
C (0.000, 0.000, 0.500)
C (0.000, 0.500, 0.000)
C (0.500, 0.000, 0.000)
S (0.500, 0.500, 0.500)

=====

Density functional theory data (SCAN) for a PBEsol-optimized structure of Ge3CS.

Output
* E_form (uncorrected): 9.87 eV/f.u.
* space group: Pm-3m (221)

abc: 4.760 4.760 4.760
angles: 90.00 90.00 90.00
Fractional positions:
Ge (0.000, 0.000, 0.500)
Ge (0.000, 0.500, 0.000)
Ge (0.500, 0.000, 0.000)
C (0.500, 0.500, 0.500)
S (0.000, 0.000, 0.000)

=====

Density functional theory data (SCAN) for a PBEsol-optimized structure of Ge3CS.

Output
* E_form (uncorrected): 5.50 eV/f.u.
* space group: Pm-3m (221)

abc: 4.353 4.353 4.353
angles: 90.00 90.00 90.00
Fractional positions:
Ge (0.000, 0.000, 0.500)
Ge (0.000, 0.500, 0.000)
Ge (0.500, 0.000, 0.000)
C (0.000, 0.000, 0.000)
S (0.500, 0.500, 0.500)

=====

Density functional theory data (SCAN) for a PBEsol-optimized structure of GeSb2C.

Output
* E_form (uncorrected): 6.09 eV/f.u.
* space group: Fm-3m (225)

abc: 4.714 4.714 4.714
angles: 60.00 60.00 60.00
Fractional positions:
Ge (0.000, 0.000, 0.000)
Sb (0.250, 0.250, 0.250)
Sb (0.750, 0.750, 0.750)
C (0.500, 0.500, 0.500)

=====

Density functional theory data (SCAN) for a PBEsol-optimized structure of GeSb2TeC.

Output
* E_form (uncorrected): 5.53 eV/f.u.
* space group: P4/mmm (123)

abc: 4.734 4.734 4.760
angles: 90.00 90.00 90.00
Fractional positions:
Ge (0.000, 0.000, 0.000)
Sb (0.000, 0.500, 0.500)
Sb (0.500, 0.000, 0.500)
Te (0.500, 0.500, 0.000)
C (0.500, 0.500, 0.500)

=====

Density functional theory data (SCAN) for a PBEsol-optimized structure of GeC2Se.

Output
* E_form (uncorrected): 10.31 eV/f.u.
* space group: Fm-3m (225)

abc: 4.032 4.032 4.032
angles: 60.00 60.00 60.00
Fractional positions:
Ge (0.000, 0.000, 0.000)
C (0.250, 0.250, 0.250)
C (0.750, 0.750, 0.750)
Se (0.500, 0.500, 0.500)

=====

Density functional theory data (SCAN) for a PBEsol-optimized structure of GeCSe2.

Output
* E_form (uncorrected): 5.04 eV/f.u.
* space group: R-3m (166)

abc: 8.423 8.423 8.423
angles: 21.20 21.20 21.20
Fractional positions:
Ge (0.000, 0.000, 0.000)
C (0.500, 0.500, 0.500)
Se (0.111, 0.111, 0.111)
Se (0.889, 0.889, 0.889)

=====

Density functional theory data (SCAN) for a PBEsol-optimized structure of Si3GeC.

Output
* E_form (uncorrected): 12.34 eV/f.u.
* space group: Pm-3m (221)

abc: 4.646 4.646 4.646
angles: 90.00 90.00 90.00
Fractional positions:
Si (0.000, 0.000, 0.500)
Si (0.000, 0.500, 0.000)
Si (0.500, 0.000, 0.000)
Ge (0.000, 0.000, 0.000)
C (0.500, 0.500, 0.500)

=====

Density functional theory data (SCAN) for a PBEsol-optimized structure of Sn2GeC.

Output
* formation energy from the elements: 1483 meV/atom
* space group: Fm-3m (225)

abc: 4.715 4.715 4.715
angles: 60.00 60.00 60.00
Fractional positions:
Sn (0.250, 0.250, 0.250)
Sn (0.750, 0.750, 0.750)
Ge (0.000, 0.000, 0.000)
C (0.500, 0.500, 0.500)

=====

Density functional theory data (SCAN) for a PBEsol-optimized structure of SrGeTeC2.

Output
* E_form (uncorrected): 7.90 eV/f.u.
* space group: P4/mmm (123)

abc: 4.198 4.198 6.181
angles: 90.00 90.00 90.00
Fractional positions:
Sr (0.000, 0.000, 0.000)
Ge (0.000, 0.000, 0.500)
Te (0.500, 0.500, 0.000)
C (0.000, 0.500, 0.500)
C (0.500, 0.000, 0.500)

=====

Density functional theory data (SCAN) for a PBEsol-optimized structure of TaGe3C.

Output
* formation energy from the elements: 1255 meV/atom
* space group: Pm-3m (221)

abc: 4.225 4.225 4.225
angles: 90.00 90.00 90.00
Fractional positions:
Ta (0.000, 0.000, 0.000)
Ge (0.000, 0.500, 0.500)
Ge (0.500, 0.000, 0.500)
Ge (0.500, 0.500, 0.000)
C (0.500, 0.500, 0.500)

=====

Density functional theory data (SCAN) for a PBEsol-optimized structure of TiTc2GeC.

Output
* formation energy from the elements: -158 meV/atom
* space group: P4/mmm (123)

abc: 4.039 4.039 4.016
angles: 90.00 90.00 90.00
Fractional positions:
Ti (0.000, 0.000, 0.000)
Tc (0.000, 0.500, 0.500)
Tc (0.500, 0.000, 0.500)
Ge (0.500, 0.500, 0.000)
C (0.000, 0.000, 0.500)

=====

Density functional theory data (SCAN) for a PBEsol-optimized structure of Zr2TcGeC.

Output
* formation energy from the elements: 1181 meV/atom
* space group: P4/mmm (123)

abc: 5.029 5.029 3.580
angles: 90.00 90.00 90.00
Fractional positions:
Zr (0.000, 0.500, 0.000)
Zr (0.500, 0.000, 0.000)
Tc (0.000, 0.000, 0.500)
Ge (0.500, 0.500, 0.000)
C (0.500, 0.500, 0.500)

=====

Density functional theory data (SCAN) for a PBEsol-optimized structure of Ti3GeC2.

Output
* formation energy from the elements: -948 meV/atom
* space group: P6_3/mmc (194)

abc: 3.067 3.067 17.707
angles: 90.00 90.00 120.00
Fractional positions:
Ti (0.000, 0.000, 0.000)
Ti (0.000, 0.000, 0.500)
Ti (0.333, 0.667, 0.133)
Ti (0.333, 0.667, 0.367)
Ti (0.667, 0.333, 0.633)
Ti (0.667, 0.333, 0.867)
Ge (0.000, 0.000, 0.250)
Ge (0.000, 0.000, 0.750)
C (0.333, 0.667, 0.572)
C (0.333, 0.667, 0.928)
C (0.667, 0.333, 0.072)
C (0.667, 0.333, 0.428)

=====

Density functional theory data (SCAN) for a PBEsol-optimized structure of TiZn2GeC.

Output
* formation energy from the elements: 1192 meV/atom
* space group: P4/mmm (123)

abc: 4.927 4.927 3.854
angles: 90.00 90.00 90.00
Fractional positions:
Ti (0.000, 0.000, 0.000)
Zn (0.000, 0.500, 0.000)
Zn (0.500, 0.000, 0.000)
Ge (0.500, 0.500, 0.500)
C (0.000, 0.000, 0.500)

=====

Density functional theory data (SCAN) for a PBEsol-optimized structure of Tl3GeC.

Output
* formation energy from the elements: 1166 meV/atom
* space group: Pm-3m (221)

abc: 4.807 4.807 4.807
angles: 90.00 90.00 90.00
Fractional positions:
Tl (0.000, 0.000, 0.500)
Tl (0.000, 0.500, 0.000)
Tl (0.500, 0.000, 0.000)
Ge (0.500, 0.500, 0.500)
C (0.000, 0.000, 0.000)

=====

Density functional theory data (SCAN) for a PBEsol-optimized structure of V3GeC.

Output
* formation energy from the elements: -557 meV/atom
* space group: Cmcm (63)

abc: 5.181 5.181 7.800
angles: 90.00 90.00 146.02
Fractional positions:
V (0.041, 0.959, 0.750)
V (0.370, 0.630, 0.547)
V (0.370, 0.630, 0.953)
V (0.630, 0.370, 0.047)
V (0.630, 0.370, 0.453)
V (0.959, 0.041, 0.250)
Ge (0.255, 0.745, 0.250)
Ge (0.745, 0.255, 0.750)
C (0.000, 0.000, 0.000)
C (0.000, 0.000, 0.500)

=====

Density functional theory data (SCAN) for a PBEsol-optimized structure of ZrGeC2.

Output
* formation energy from the elements: 270 meV/atom
* space group: I-42d (122)

abc: 5.157 5.157 5.157
angles: 116.62 116.62 95.97
Fractional positions:
Zr (0.000, 0.000, 0.000)
Zr (0.750, 0.250, 0.500)
Ge (0.250, 0.750, 0.500)
Ge (0.500, 0.500, 0.000)
C (0.164, 0.625, 0.039)
C (0.375, 0.414, 0.539)
C (0.586, 0.125, 0.961)
C (0.875, 0.836, 0.461)

=====

Calculated V (Å³/cell), listed in the same order as above: 107.1 85.0 60.8 107.9 82.5 74.1 106.7 46.4 68.5 100.3 74.1 108.9 75.4 65.5 90.6 144.3 93.6 111.1 117.0 101.4